Entry 1:
Compound: BaCaPrY
Source: the Alexandria database
Functional: PBE
Structure: optimized geometry

abc: 6.132 6.132 6.132
angles: 60.00 60.00 60.00
Sites, in units of the cell vectors:
1 Ba 0.000 0.000 0.000
2 Ca 0.250 0.250 0.250
3 Pr 0.500 0.500 0.500
4 Y 0.750 0.750 0.750

Results
calculated volume	163	Å³ per cell
size of the total moment	0.000	Bohr magnetons per cell
calculated formation energy	0.20	eV/atom

Entry 2:
Compound: Ge2Se
Source: the Alexandria database
Functional: PBE
Structure: optimized geometry

abc: 5.462 5.627 6.167
angles: 73.94 80.73 62.71
Sites, in units of the cell vectors:
1 Ge 0.000 0.000 0.000
2 Ge 0.031 0.277 0.578
3 Ge 0.291 0.107 0.228
4 Ge 0.571 0.592 0.384
5 Se 0.115 0.672 0.568
6 Se 0.538 0.411 0.065

Results
calculated volume	162	Å³ per cell
size of the total moment	0.000	Bohr magnetons per cell
energy above the most stable polymorph in this dataset	38	meV/atom

Q: Which formula does entry 1 have?
A: BaCaPrY

Q: size of the total moment of number 2 (Ge2Se)?
A: 0.000 Bohr magnetons per cell

Q: Among the records above, which one has the lowest calculated volume?
A: Ge2Se

Q: What is the calculated volume in the first record?
A: 163 Å³ per cell